Computed, not measured: an optimized crystal structure of K2CoF6 at the GGA+U level of DFT.

Computed properties:
Its total DFT energy (no corrections) is -4.28 eV/atom. The value obtained for the calculated volume is 140 Å³ per cell.

abc: 5.822 5.822 5.822
angles: 60.00 60.00 60.00
Each line ends with the local moment (μB).
Sites, in units of the cell vectors:
K  0.250  0.250  0.250  0.00
K  0.750  0.750  0.750  0.00
Co  0.000  0.000  0.000  0.77
F  0.220  0.780  0.780  0.03
F  0.780  0.220  0.780  0.01
F  0.220  0.780  0.220  0.01
F  0.780  0.220  0.220  0.03
F  0.220  0.220  0.780  0.06
F  0.780  0.780  0.220  0.06